Entry 1:
{
  "formula": "TcMoAu2",
  "functional": "PBE-GGA",
  "state": "optimized geometry",
  "mass_density_g_cm3": 14.9,
  "energy_ev_per_cell": -26.37,
  "magnetic_moment_mub_per_cell": 0.0,
  "e_form_ev_per_atom": 0.345,
  "polymorph_energy_ev_per_atom": 0.155,
  "spacegroup": "P4/mmm",
  "lattice": [[2.736, 0.000, 0.000], [0.000, 2.736, 0.000], [0.000, 0.000, 8.728]],
  "species": ["Tc", "Mo", "Au", "Au"],
  "fractional_positions": [[0.000, 0.000, 0.000], [0.000, 0.000, 0.500], [0.500, 0.500, 0.249], [0.500, 0.500, 0.751]]
}

=====

Entry 2:
{
  "formula": "Tc4MoAu",
  "functional": "PBE-GGA",
  "state": "optimized geometry",
  "mass_density_g_cm3": 12.0,
  "energy_ev_per_cell": -53.78,
  "magnetic_moment_mub_per_cell": 0.0,
  "e_form_ev_per_atom": 0.299,
  "spacegroup": "F-43m",
  "lattice": [[0.000, 3.619, 3.619], [3.619, 0.000, 3.619], [3.619, 3.619, 0.000]],
  "species": ["Tc", "Tc", "Tc", "Tc", "Mo", "Au"],
  "fractional_positions": [[0.124, 0.124, 0.124], [0.124, 0.124, 0.628], [0.124, 0.628, 0.124], [0.628, 0.124, 0.124], [0.500, 0.500, 0.500], [0.750, 0.750, 0.750]]
}

=====

Entry 3:
{
  "formula": "Tc2MoAu",
  "functional": "PBE-GGA",
  "state": "optimized geometry",
  "mass_density_g_cm3": 13.1,
  "energy_ev_per_cell": -34.06,
  "magnetic_moment_mub_per_cell": 0.0,
  "e_form_ev_per_atom": 0.195,
  "polymorph_energy_ev_per_atom": 0.032,
  "spacegroup": "Imm2",
  "lattice": [[-1.970, 1.974, 3.986], [1.970, -1.974, 3.986], [1.970, 1.974, -3.986]],
  "species": ["Tc", "Tc", "Mo", "Au"],
  "fractional_positions": [[0.000, 0.000, 0.000], [0.733, 0.233, 0.500], [0.500, 0.500, 0.000], [0.248, 0.748, 0.500]]
}